Computed, not measured: an optimized crystal structure of Pm6Nd8Pb at the GGA-PBE level of DFT.

abc: 6.723 9.464 9.464
angles: 120.00 90.00 90.00
Fractional positions:
Pm  0.665  0.649  0.093
Pm  0.665  0.907  0.556
Pm  0.665  0.444  0.351
Pm  0.335  0.351  0.907
Pm  0.335  0.093  0.444
Pm  0.335  0.556  0.649
Nd  0.823  0.039  0.270
Nd  0.823  0.730  0.770
Nd  0.823  0.230  0.961
Nd  0.177  0.961  0.730
Nd  0.177  0.270  0.230
Nd  0.177  0.770  0.039
Nd  0.871  0.333  0.667
Nd  0.129  0.667  0.333
Pb  0.500  0.000  0.000

calculated total energy	-4.64	eV/atom
V	521.5	Å³/cell
DFT formation energy	49	meV/atom
space-group type	P-3, No. 147
calculated density	7.1	g cm⁻³